The following is a meta-GGA SCAN calculation of a PBEsol-optimized structure of Sr2Zn2Cd, from the Alexandria database.

Calculated values
E_tot   -206.4 eV for the cell shown
Energy above the most stable polymorph in this dataset   0.0 meV/atom
N(E_F)   7.5 states/eV per cell
E_form   -0.241 eV/atom
ρ   5112 kg/m³

Cell lengths 4.360, 7.896, 7.896 Å; angles 90.00, 90.00, 90.00 degrees
Fractional positions:
Zn  0.000  0.387  0.887
Cd  0.000  0.000  0.000
Cd  0.000  0.500  0.500
Sr  0.500  0.815  0.315
Zn  0.000  0.113  0.387
Sr  0.500  0.685  0.815
Sr  0.500  0.185  0.685
Sr  0.500  0.315  0.185
Zn  0.000  0.613  0.113
Zn  0.000  0.887  0.613